<a>
First-principles (PBE) data for CuAgIr2 after structural relaxation, as listed in Alexandria.

a b c (Å): 2.759 2.759 7.792
angles (deg): 90.00 90.00 90.00
Atoms (fractional coordinates):
Cu (0.000, 0.000, 0.000)
Ag (0.500, 0.500, 0.747)
Ir (0.000, 0.000, 0.465)
Ir (0.500, 0.500, 0.236)

Values from the calculation:
Total magnetization = 0.000 μB/atom
Symmetry = P4mm (99)

---

<b>
First-principles (PBE) data for CuAgIr2 after structural relaxation, as listed in Alexandria.

a b c (Å): 3.782 3.782 4.163
angles (deg): 90.00 90.00 90.00
Atoms (fractional coordinates):
Cu (0.000, 0.000, 0.000)
Ag (0.500, 0.500, 0.000)
Ir (0.000, 0.500, 0.500)
Ir (0.500, 0.000, 0.500)

Values from the calculation:
Total magnetization = 0.240 μB/atom
Symmetry = P4/mmm (123)

---

Stability check: which of them is most stable? <a>.

---

<a>
First-principles (PBE) data for CuAgIr2 after structural relaxation, as listed in Alexandria.

a b c (Å): 2.708 2.708 9.323
angles (deg): 90.00 90.00 118.85
Atoms (fractional coordinates):
Cu (0.000, 0.000, 0.000)
Ag (0.000, 0.000, 0.500)
Ir (0.500, 0.500, 0.233)
Ir (0.500, 0.500, 0.767)

Values from the calculation:
Total magnetization = 0.001 μB/atom
Symmetry = Cmmm (65)

---

<b>
First-principles (PBE) data for CuAgIr2 after structural relaxation, as listed in Alexandria.

a b c (Å): 2.736 2.736 9.321
angles (deg): 90.00 90.00 120.04
Atoms (fractional coordinates):
Cu (0.000, 0.000, 0.000)
Ag (0.500, 0.500, 0.752)
Ir (0.000, 0.000, 0.480)
Ir (0.500, 0.500, 0.237)

Values from the calculation:
Total magnetization = 0.000 μB/atom
Symmetry = Cmm2 (35)

---

Stability check: which of them is most stable? <b>.

---

<a>
First-principles (PBE) data for Cu2AgIr after structural relaxation, as listed in Alexandria.

a b c (Å): 4.551 4.551 2.753
angles (deg): 90.00 90.00 101.28
Atoms (fractional coordinates):
Cu (0.000, 0.500, 0.000)
Cu (0.500, 0.000, 0.000)
Ag (0.000, 0.000, 0.500)
Ir (0.500, 0.500, 0.500)

Values from the calculation:
Total magnetization = 0.000 μB/atom
Symmetry = Cmmm (65)

---

<b>
First-principles (PBE) data for Cu2AgIr after structural relaxation, as listed in Alexandria.

a b c (Å): 4.332 4.332 4.332
angles (deg): 60.00 60.00 60.00
Atoms (fractional coordinates):
Cu (0.000, 0.000, 0.000)
Cu (0.250, 0.250, 0.250)
Ag (0.500, 0.500, 0.500)
Ir (0.750, 0.750, 0.750)

Values from the calculation:
Total magnetization = 0.000 μB/atom
Symmetry = F-43m (216)

---

<c>
First-principles (PBE) data for Cu2AgIr after structural relaxation, as listed in Alexandria.

a b c (Å): 2.639 4.265 5.196
angles (deg): 90.00 104.57 90.00
Atoms (fractional coordinates):
Cu (0.000, 0.000, 0.000)
Cu (0.138, 0.500, 0.271)
Ag (0.394, 0.500, 0.784)
Ir (0.733, 0.000, 0.462)

Values from the calculation:
Total magnetization = 0.006 μB/atom
Symmetry = Pm (6)

---

<d>
First-principles (PBE) data for Cu2AgIr after structural relaxation, as listed in Alexandria.

a b c (Å): 2.631 3.962 5.463
angles (deg): 90.00 90.00 90.00
Atoms (fractional coordinates):
Cu (0.000, 0.000, 0.000)
Cu (0.500, 0.500, 0.249)
Ag (0.500, 0.500, 0.757)
Ir (0.000, 0.000, 0.470)

Values from the calculation:
Total magnetization = 0.000 μB/atom
Symmetry = Pmm2 (25)

---

Stability check: which of them is most stable? <a>.